Below is Sc2Fe2Co15 after structural relaxation, with properties calculated at the GGA-PBE level.

Energy of formation from the pure elements, eV per atom: -0.102
SG: R-3m, No. 166
M_tot, μB/cell: 26.7

abc: 6.1969 6.1969 6.1969
angles: 82.78 82.78 82.78
With the nearest neighbours (Å) after each atom.
Atoms (fractional coordinates):
Sc (0.1546, 0.1546, 0.1546)  18 Co 2.87-3.19, 1 Fe 2.95
Sc (0.8454, 0.8454, 0.8454)  18 Co 2.87-3.19, 1 Fe 2.95
Fe (0.4005, 0.4005, 0.4005)  1 Fe 2.39, 6 Co 2.50-2.59
Fe (0.5995, 0.5995, 0.5995)  1 Fe 2.39, 6 Co 2.50-2.59
Co (0.0000, 0.5000, 0.5000)  8 Co 2.35-2.39, 2 Fe 2.50
Co (0.1489, 0.1489, 0.6547)  8 Co 2.37-2.52, 1 Fe 2.59
Co (0.1489, 0.6547, 0.1489)  8 Co 2.37-2.52, 1 Fe 2.59
Co (0.2060, 0.5000, 0.7940)  8 Co 2.35-2.52
Co (0.2060, 0.7940, 0.5000)  8 Co 2.35-2.52
Co (0.3453, 0.8511, 0.8511)  8 Co 2.37-2.52, 1 Fe 2.59
Co (0.5000, 0.0000, 0.5000)  8 Co 2.35-2.39, 2 Fe 2.50
Co (0.5000, 0.2060, 0.7940)  8 Co 2.35-2.52
Co (0.5000, 0.5000, 0.0000)  8 Co 2.35-2.39, 2 Fe 2.50
Co (0.5000, 0.7940, 0.2060)  8 Co 2.35-2.52
Co (0.6547, 0.1489, 0.1489)  8 Co 2.37-2.52, 1 Fe 2.59
Co (0.7940, 0.2060, 0.5000)  8 Co 2.35-2.52
Co (0.7940, 0.5000, 0.2060)  8 Co 2.35-2.52
Co (0.8511, 0.3453, 0.8511)  8 Co 2.37-2.52, 1 Fe 2.59
Co (0.8511, 0.8511, 0.3453)  8 Co 2.37-2.52, 1 Fe 2.59

---

Below is ErCu2Hg after structural relaxation, with properties calculated at the GGA-PBE level.

Energy of formation from the pure elements, eV per atom: -0.197
SG: Fm-3m, No. 225
M_tot, μB/cell: 0.0

abc: 4.6642 4.6642 4.6642
angles: 60.00 60.00 60.00
With the nearest neighbours (Å) after each atom.
Atoms (fractional coordinates):
Er (0.0000, 0.0000, 0.0000)  8 Cu 2.86
Cu (0.2500, 0.2500, 0.2500)  4 Hg 2.86, 4 Er 2.86
Cu (0.7500, 0.7500, 0.7500)  4 Hg 2.86, 4 Er 2.86
Hg (0.5000, 0.5000, 0.5000)  8 Cu 2.86

---

Below is ScTlCdO2 after structural relaxation, with properties calculated at the GGA-PBE level.

SG: P4/mmm, No. 123
Formation energy (no corrections), eV/atom: 0.122
M_tot, μB/cell: 0.0

abc: 4.2710 4.2710 5.4914
angles: 90.00 90.00 90.00
With the nearest neighbours (Å) after each atom.
Atoms (fractional coordinates):
Sc (0.0000, 0.0000, 0.0000)  2 Cd 2.75, 4 Tl 3.02
Tl (0.5000, 0.5000, 0.0000)  4 Sc 3.02
Cd (0.0000, 0.0000, 0.5000)  4 O 2.14
O (0.0000, 0.5000, 0.5000)  2 Cd 2.14
O (0.5000, 0.0000, 0.5000)  2 Cd 2.14

---

Below is BaCu2Au after structural relaxation, with properties calculated at the GGA-PBE level.

Energy of formation from the pure elements, eV per atom: 0.016
Distance to the lowest polymorph of the same formula, meV/atom: 267
SG: Pmm2, No. 25
M_tot, μB/cell: 0.0

abc: 3.3716 3.5775 7.0786
angles: 90.00 90.00 90.00
With the nearest neighbours (Å) after each atom.
Atoms (fractional coordinates):
Ba (0.0000, 0.0000, 0.0000)  4 Au 3.34, 6 Cu 3.36-3.71, 4 Ba 3.37-3.58
Cu (0.0000, 0.0000, 0.4754)  4 Cu 2.68, 4 Au 2.85
Cu (0.5000, 0.5000, 0.3251)  1 Au 2.51, 4 Cu 2.68
Au (0.5000, 0.5000, 0.6802)  1 Cu 2.51

---

Below is Ba2YSc after structural relaxation, with properties calculated at the GGA-PBE level.

Energy of formation from the pure elements, eV per atom: 0.405
Distance to the lowest polymorph of the same formula, meV/atom: 215
SG: Cmmm, No. 65
M_tot, μB/cell: 0.3

abc: 3.7068 3.7068 12.3978
angles: 90.00 90.00 109.28
With the nearest neighbours (Å) after each atom.
Atoms (fractional coordinates):
Ba (0.0000, 0.0000, 0.2407)  2 Sc 3.68, 4 Ba 3.71, 2 Y 3.86
Ba (0.0000, 0.0000, 0.7593)  2 Sc 3.68, 4 Ba 3.71, 2 Y 3.86
Y (0.5000, 0.5000, 0.5000)  4 Y 3.71, 4 Ba 3.86
Sc (0.5000, 0.5000, 0.0000)  4 Ba 3.68, 4 Sc 3.71

---

Below is BePRu2 after structural relaxation, with properties calculated at the GGA-PBE level.

Energy of formation from the pure elements, eV per atom: -0.061
Distance to the lowest polymorph of the same formula, meV/atom: 405
SG: I-4m2, No. 119
M_tot, μB/cell: 0.0

abc: 4.8042 4.8042 4.8042
angles: 138.28 138.28 60.48
With the nearest neighbours (Å) after each atom.
Atoms (fractional coordinates):
Be (0.0000, 0.0000, 0.0000)  8 Ru 2.42-2.69, 4 P 2.69
P (0.2500, 0.7500, 0.5000)  8 Ru 2.42-2.69, 4 Be 2.69
Ru (0.5000, 0.5000, 0.0000)  4 Be 2.42, 4 P 2.69, 4 Ru 2.69
Ru (0.7500, 0.2500, 0.5000)  4 P 2.42, 4 Be 2.69, 4 Ru 2.69

---

Below is Ta2TcAs after structural relaxation, with properties calculated at the GGA-PBE level.

Energy of formation from the pure elements, eV per atom: -0.008
SG: Cmm2, No. 35
M_tot, μB/cell: 0.0

abc: 2.9391 2.9391 8.3397
angles: 90.00 90.00 110.64
With the nearest neighbours (Å) after each atom.
Atoms (fractional coordinates):
Ta (0.0000, 0.0000, 0.0000)  2 Tc 2.68, 6 Ta 2.83-2.94
Ta (0.5000, 0.5000, 0.2732)  2 As 2.63, 6 Ta 2.83-2.94
Tc (0.5000, 0.5000, 0.7483)  2 As 2.55, 2 Ta 2.68
As (0.0000, 0.0000, 0.5172)  2 Tc 2.55, 2 Ta 2.63

---

Below is CaCdIrO6 after structural relaxation, with properties calculated at the GGA-PBE level.

SG: P-31c, No. 163
Formation energy (no corrections), eV/atom: -1.085
M_tot, μB/cell: 0.8

abc: 5.6063 5.6063 8.8961
angles: 90.00 90.00 120.00
With the nearest neighbours (Å) after each atom.
Atoms (fractional coordinates):
Ca (0.3333, 0.6667, 0.2500)  6 O 2.31
Ca (0.6667, 0.3333, 0.7500)  6 O 2.31
Cd (0.0000, 0.0000, 0.0000)  6 O 2.34
Cd (0.0000, 0.0000, 0.5000)  6 O 2.34
Ir (0.3333, 0.6667, 0.7500)  6 O 1.90
Ir (0.6667, 0.3333, 0.2500)  6 O 1.90
O (0.0547, 0.3872, 0.6288)  1 Ir 1.90
O (0.0547, 0.6675, 0.8712)  1 Ir 1.90
O (0.3325, 0.3872, 0.8712)  1 Ir 1.90
O (0.3325, 0.9453, 0.6288)  1 Ir 1.90
O (0.3872, 0.0547, 0.1288)  1 Ir 1.90
O (0.3872, 0.3325, 0.3712)  1 Ir 1.90
O (0.6128, 0.6675, 0.6288)  1 Ir 1.90
O (0.6128, 0.9453, 0.8712)  1 Ir 1.90
O (0.6675, 0.0547, 0.3712)  1 Ir 1.90
O (0.6675, 0.6128, 0.1288)  1 Ir 1.90
O (0.9453, 0.3325, 0.1288)  1 Ir 1.90
O (0.9453, 0.6128, 0.3712)  1 Ir 1.90

---

Below is Al2CdHg after structural relaxation, with properties calculated at the GGA-PBE level.

Energy of formation from the pure elements, eV per atom: 0.178
Distance to the lowest polymorph of the same formula, meV/atom: 65
SG: C2/m, No. 12
M_tot, μB/cell: 0.0

abc: 6.0750 6.0750 3.0848
angles: 101.56 101.56 125.10
With the nearest neighbours (Å) after each atom.
Atoms (fractional coordinates):
Al (0.0000, 0.5000, 0.0000)  4 Al 2.80-3.08, 2 Hg 3.04, 2 Cd 3.04
Al (0.5000, 0.0000, 0.0000)  4 Al 2.80-3.08, 2 Cd 3.04, 2 Hg 3.04
Cd (0.0000, 0.0000, 0.0000)  2 Hg 2.80, 4 Al 3.04, 2 Cd 3.08
Hg (0.5000, 0.5000, 0.0000)  2 Cd 2.80, 4 Al 3.04, 2 Hg 3.08

---

Below is PrNd7Ho2 after structural relaxation, with properties calculated at the GGA-PBE level.

Energy of formation from the pure elements, eV per atom: 0.633
Distance to the lowest polymorph of the same formula, meV/atom: 617
SG: Cmmm, No. 65
M_tot, μB/cell: 0.0

abc: 9.2655 9.2655 5.7775
angles: 90.00 90.00 122.07
With the nearest neighbours (Å) after each atom.
Atoms (fractional coordinates):
Pr (0.0000, 0.0000, 0.0000)  10 Nd 3.71-3.81
Nd (0.0631, 0.2958, 0.5000)  2 Ho 3.21-3.33, 2 Nd 3.22-3.44
Nd (0.2288, 0.7712, 0.0000)  2 Ho 3.09
Nd (0.2958, 0.0631, 0.5000)  2 Ho 3.21-3.33, 2 Nd 3.22-3.44
Nd (0.5000, 0.5000, 0.5000)  2 Ho 3.31, 4 Nd 3.44
Nd (0.7042, 0.9369, 0.5000)  2 Ho 3.21-3.33, 2 Nd 3.22-3.44
Nd (0.7712, 0.2288, 0.0000)  2 Ho 3.09
Nd (0.9369, 0.7042, 0.5000)  2 Ho 3.21-3.33, 2 Nd 3.22-3.44
Ho (0.2960, 0.7040, 0.5000)  7 Nd 3.09-3.33
Ho (0.7040, 0.2960, 0.5000)  7 Nd 3.09-3.33

---

Below is Ce7TmPb4 after structural relaxation, with properties calculated at the GGA-PBE level.

Energy of formation from the pure elements, eV per atom: -0.057
SG: C2/m, No. 12
M_tot, μB/cell: 8.6

abc: 6.9395 6.9395 11.6338
angles: 117.95 117.95 51.34
With the nearest neighbours (Å) after each atom.
Atoms (fractional coordinates):
Ce (0.0000, 0.0000, 0.0000)  2 Tm 3.01, 2 Ce 3.22, 4 Pb 3.33
Ce (0.1839, 0.1839, 0.6529)  1 Ce 2.76
Ce (0.1928, 0.1928, 0.8947)  1 Ce 2.76
Ce (0.4045, 0.4045, 0.5612)  5 Pb 3.15-3.51, 2 Ce 3.36-3.44
Ce (0.5955, 0.5955, 0.4388)  5 Pb 3.15-3.51, 2 Ce 3.36-3.44
Ce (0.8072, 0.8072, 0.1053)  1 Ce 2.76
Ce (0.8161, 0.8161, 0.3471)  1 Ce 2.76
Tm (0.5000, 0.5000, 0.0000)  2 Ce 3.01
Pb (0.1039, 0.1039, 0.3277)  6 Ce 3.24-3.37, 1 Pb 3.38
Pb (0.3074, 0.3074, 0.2187)  8 Ce 3.15-3.51, 1 Pb 3.38
Pb (0.6926, 0.6926, 0.7813)  8 Ce 3.15-3.51, 1 Pb 3.38
Pb (0.8961, 0.8961, 0.6723)  6 Ce 3.24-3.37, 1 Pb 3.38